First-principles (GGA+U) data for a relaxed MoSeO2 crystal, as listed in the Alexandria database.

Cell lengths 6.4898, 6.4898, 6.4898 Å; angles 29.53, 29.53, 29.53 degrees
With the nearest neighbours (Å) after each atom.
Element x y z (fractional)
Mo1 0.0000 0.0000 0.0000  6 O 2.16
Se1 0.5000 0.5000 0.5000  2 O 2.09
O1 0.3878 0.3878 0.3878  1 Se 2.09, 3 Mo 2.16
O2 0.6122 0.6122 0.6122  1 Se 2.09, 3 Mo 2.16

Summary:
Theoretical density ... 5.8 g cm⁻³
V ... 14.69 Å³ per atom
Electronic total energy ... -0.2234 Ha/atom